# CeDyThIn | the Alexandria database | PBE | optimized geometry
data_CeDyThIn
_chemical_formula_sum 'Ce4 Dy4 Th4 In4'
_cell_length_a 7.7229
_cell_length_b 7.7229
_cell_length_c 7.7229
_cell_angle_alpha 90.00
_cell_angle_beta 90.00
_cell_angle_gamma 90.00
_space_group_name_H-M_alt 'F -4 3 m'
_space_group_IT_number 216
_space_group_name_Hall 'F -4 2 3'
loop_
_atom_site_label
_atom_site_type_symbol
_atom_site_fract_x
_atom_site_fract_y
_atom_site_fract_z
Ce1 Ce 0.0000 0.0000 0.0000
Dy1 Dy 0.0000 0.0000 0.5000
Th1 Th 0.2500 0.2500 0.2500
In1 In 0.2500 0.2500 0.7500
# - theoretical density (g cm⁻³) = 9.4
# - formation enthalpy at 0 K (meV per atom) = -33.0

# MgBPb3 | the Alexandria database | PBE | optimized geometry
data_MgBPb3
_chemical_formula_sum 'Mg1 B1 Pb3'
_cell_length_a 5.4791
_cell_length_b 5.4791
_cell_length_c 5.4791
_cell_angle_alpha 90.00
_cell_angle_beta 90.00
_cell_angle_gamma 90.00
_space_group_name_H-M_alt 'P m -3 m'
_space_group_IT_number 221
_space_group_name_Hall '-P 4 2 3'
loop_
_atom_site_label
_atom_site_type_symbol
_atom_site_fract_x
_atom_site_fract_y
_atom_site_fract_z
Mg1 Mg 0.0000 0.0000 0.0000
B1 B 0.5000 0.5000 0.5000
Pb1 Pb 0.0000 0.0000 0.5000
# - offset from the most stable computed form (eV/f.u.) = 3.412
# - theoretical density (g cm⁻³) = 6.6
# - formation enthalpy at 0 K (meV per atom) = 1304.6

# Ba2NaLiNi | the Alexandria database | PBE | optimized geometry
data_Ba2NaLiNi
_chemical_formula_sum 'Ba2 Na1 Li1 Ni1'
_cell_length_a 6.0266
_cell_length_b 6.0266
_cell_length_c 5.5751
_cell_angle_alpha 90.00
_cell_angle_beta 90.00
_cell_angle_gamma 90.00
_space_group_name_H-M_alt 'P 4/m m m'
_space_group_IT_number 123
_space_group_name_Hall '-P 4 2'
loop_
_atom_site_label
_atom_site_type_symbol
_atom_site_fract_x
_atom_site_fract_y
_atom_site_fract_z
Ba1 Ba 0.0000 0.5000 0.0000
Na1 Na 0.0000 0.0000 0.5000
Li1 Li 0.5000 0.5000 0.5000
Ni1 Ni 0.0000 0.0000 0.0000
# - offset from the most stable computed form (eV/f.u.) = 0.357
# - theoretical density (g cm⁻³) = 3.0
# - formation enthalpy at 0 K (meV per atom) = 156.1

# BeReAg2 | the Alexandria database | PBE | optimized geometry
data_BeReAg2
_chemical_formula_sum 'Be1 Re1 Ag2'
_cell_length_a 3.6988
_cell_length_b 3.6988
_cell_length_c 4.3558
_cell_angle_alpha 90.00
_cell_angle_beta 90.00
_cell_angle_gamma 90.00
_space_group_name_H-M_alt 'P 4/m m m'
_space_group_IT_number 123
_space_group_name_Hall '-P 4 2'
loop_
_atom_site_label
_atom_site_type_symbol
_atom_site_fract_x
_atom_site_fract_y
_atom_site_fract_z
Be1 Be 0.0000 0.0000 0.0000
Re1 Re 0.5000 0.5000 0.0000
Ag1 Ag 0.0000 0.5000 0.5000
# - theoretical density (g cm⁻³) = 11.5
# - formation enthalpy at 0 K (meV per atom) = 711.6

# Mn4B2Mo | the Alexandria database | PBE | optimized geometry
data_Mn4B2Mo
_chemical_formula_sum 'Mn8 B4 Mo2'
_cell_length_a 3.3195
_cell_length_b 12.6882
_cell_length_c 3.3873
_cell_angle_alpha 90.00
_cell_angle_beta 90.00
_cell_angle_gamma 90.00
_space_group_name_H-M_alt 'C m m m'
_space_group_IT_number 65
_space_group_name_Hall '-C 2 2'
loop_
_atom_site_label
_atom_site_type_symbol
_atom_site_fract_x
_atom_site_fract_y
_atom_site_fract_z
Mn1 Mn 0.0000 0.1765 0.0000
Mn2 Mn 0.0000 0.3220 0.5000
B1 B 0.0000 0.0690 0.5000
Mo1 Mo 0.0000 0.5000 0.0000
# - theoretical density (g cm⁻³) = 7.9
# - formation enthalpy at 0 K (meV per atom) = -132.1

# Ce2HoRh2 | the Alexandria database | PBE | optimized geometry
data_Ce2HoRh2
_chemical_formula_sum 'Ce4 Ho2 Rh4'
_cell_length_a 5.2294
_cell_length_b 7.2256
_cell_length_c 5.8936
_cell_angle_alpha 90.00
_cell_angle_beta 90.00
_cell_angle_gamma 90.00
_space_group_name_H-M_alt 'C m m m'
_space_group_IT_number 65
_space_group_name_Hall '-C 2 2'
loop_
_atom_site_label
_atom_site_type_symbol
_atom_site_fract_x
_atom_site_fract_y
_atom_site_fract_z
Ce1 Ce 0.0000 0.1928 0.0000
Ho1 Ho 0.0000 0.0000 0.5000
Rh1 Rh 0.0000 0.5000 0.2576
# - offset from the most stable computed form (eV/f.u.) = 1.807
# - theoretical density (g cm⁻³) = 9.7
# - formation enthalpy at 0 K (meV per atom) = -285.0

# SrBe2Mo | the Alexandria database | PBE | optimized geometry
data_SrBe2Mo
_chemical_formula_sum 'Sr2 Be4 Mo2'
_cell_length_a 2.7577
_cell_length_b 4.9997
_cell_length_c 9.5295
_cell_angle_alpha 90.00
_cell_angle_beta 90.00
_cell_angle_gamma 90.00
_space_group_name_H-M_alt 'I m m 2'
_space_group_IT_number 44
loop_
_space_group_symop_operation_xyz
'x,y,z'
'-x,-y,z'
'-x,y,z'
'x,-y,z'
'x+1/2,y+1/2,z+1/2'
'-x+1/2,-y+1/2,z+1/2'
'-x+1/2,y+1/2,z+1/2'
'x+1/2,-y+1/2,z+1/2'
loop_
_atom_site_label
_atom_site_type_symbol
_atom_site_fract_x
_atom_site_fract_y
_atom_site_fract_z
Sr1 Sr 0.0000 0.0000 0.0000
Be1 Be 0.0000 0.0000 0.4785
Be2 Be 0.0000 0.5000 0.7839
Mo1 Mo 0.0000 0.5000 0.2010
# - offset from the most stable computed form (eV/f.u.) = 1.765
# - theoretical density (g cm⁻³) = 5.1
# - formation enthalpy at 0 K (meV per atom) = 819.2

# PPt2W | the Alexandria database | PBE | optimized geometry
data_PPt2W
_chemical_formula_sum 'P2 Pt4 W2'
_cell_length_a 3.5370
_cell_length_b 3.1417
_cell_length_c 10.9609
_cell_angle_alpha 90.00
_cell_angle_beta 90.00
_cell_angle_gamma 90.00
_space_group_name_H-M_alt 'A m m 2'
_space_group_IT_number 38
loop_
_space_group_symop_operation_xyz
'x,y,z'
'-x,-y,z'
'-x,y,z'
'x,-y,z'
'x,y+1/2,z+1/2'
'-x,-y+1/2,z+1/2'
'-x,y+1/2,z+1/2'
'x,-y+1/2,z+1/2'
loop_
_atom_site_label
_atom_site_type_symbol
_atom_site_fract_x
_atom_site_fract_y
_atom_site_fract_z
P1 P 0.0000 0.0000 0.0000
Pt1 Pt 0.0000 0.0000 0.7760
Pt2 Pt 0.5000 0.0000 0.1413
W1 W 0.5000 0.0000 0.4143
# - theoretical density (g cm⁻³) = 16.5
# - formation enthalpy at 0 K (meV per atom) = -179.1

# K3NaTc2O8 | the Alexandria database | PBE | optimized geometry
data_K3NaTc2O8
_chemical_formula_sum 'K3 Na1 Tc2 O8'
_cell_length_a 6.0981
_cell_length_b 6.0981
_cell_length_c 7.7753
_cell_angle_alpha 90.00
_cell_angle_beta 90.00
_cell_angle_gamma 120.00
_space_group_name_H-M_alt 'P -3 m 1'
_space_group_IT_number 164
_space_group_name_Hall '-P 3 2"'
loop_
_atom_site_label
_atom_site_type_symbol
_atom_site_fract_x
_atom_site_fract_y
_atom_site_fract_z
K1 K 0.0000 0.0000 0.0000
K2 K 0.3333 0.6667 0.6566
Na1 Na 0.0000 0.0000 0.5000
Tc1 Tc 0.3333 0.6667 0.2154
O1 O 0.1757 0.3513 0.3030
O2 O 0.3333 0.6667 0.9875
# - theoretical density (g cm⁻³) = 3.1
# - energy relative to the elements, uncorrected (eV/atom) = -1.66

# Na5P3Pd3 | the Alexandria database | PBE | optimized geometry
data_Na5P3Pd3
_chemical_formula_sum 'Na5 P3 Pd3'
_cell_length_a 8.8877
_cell_length_b 8.8877
_cell_length_c 4.4124
_cell_angle_alpha 90.00
_cell_angle_beta 90.00
_cell_angle_gamma 120.00
_space_group_name_H-M_alt 'P -6 2 m'
_space_group_IT_number 189
_space_group_name_Hall 'P -6 -2'
loop_
_atom_site_label
_atom_site_type_symbol
_atom_site_fract_x
_atom_site_fract_y
_atom_site_fract_z
Na1 Na 0.0000 0.2695 0.0000
Na2 Na 0.3333 0.6667 0.0000
P1 P 0.0000 0.6364 0.0000
Pd1 Pd 0.0000 0.6366 0.5000
# - theoretical density (g cm⁻³) = 2.9
# - formation enthalpy at 0 K (meV per atom) = -236.4

# CdSnH2 | the Alexandria database | PBE | optimized geometry
data_CdSnH2
_chemical_formula_sum 'Cd1 Sn1 H2'
_cell_length_a 3.0805
_cell_length_b 3.1464
_cell_length_c 9.6849
_cell_angle_alpha 89.65
_cell_angle_beta 83.74
_cell_angle_gamma 60.75
_space_group_name_H-M_alt 'P 1'
_space_group_IT_number 1
loop_
_space_group_symop_operation_xyz
'x,y,z'
loop_
_atom_site_label
_atom_site_type_symbol
_atom_site_fract_x
_atom_site_fract_y
_atom_site_fract_z
Cd1 Cd 0.0000 0.0000 0.0000
Sn1 Sn 0.5666 0.0772 0.7002
H1 H 0.4694 0.5722 0.3847
H2 H 0.4916 0.5878 0.3066
# - offset from the most stable computed form (eV/f.u.) = 0.000
# - theoretical density (g cm⁻³) = 4.8

# InBi2Rh2 | the Alexandria database | PBE | optimized geometry
data_InBi2Rh2
_chemical_formula_sum 'In2 Bi4 Rh4'
_cell_length_a 4.1829
_cell_length_b 4.1829
_cell_length_c 14.6158
_cell_angle_alpha 90.00
_cell_angle_beta 90.00
_cell_angle_gamma 90.00
_space_group_name_H-M_alt 'I 4/m m m'
_space_group_IT_number 139
_space_group_name_Hall '-I 4 2'
loop_
_atom_site_label
_atom_site_type_symbol
_atom_site_fract_x
_atom_site_fract_y
_atom_site_fract_z
In1 In 0.0000 0.0000 0.0000
Bi1 Bi 0.0000 0.0000 0.3664
Rh1 Rh 0.0000 0.5000 0.2500
# - offset from the most stable computed form (eV/f.u.) = 0.295
# - theoretical density (g cm⁻³) = 9.6
# - formation enthalpy at 0 K (meV per atom) = -11.8

# YOsAu2 | the Alexandria database | PBE | optimized geometry
data_YOsAu2
_chemical_formula_sum 'Y4 Os4 Au8'
_cell_length_a 6.7519
_cell_length_b 6.7519
_cell_length_c 6.7519
_cell_angle_alpha 90.00
_cell_angle_beta 90.00
_cell_angle_gamma 90.00
_space_group_name_H-M_alt 'F m -3 m'
_space_group_IT_number 225
_space_group_name_Hall '-F 4 2 3'
loop_
_atom_site_label
_atom_site_type_symbol
_atom_site_fract_x
_atom_site_fract_y
_atom_site_fract_z
Y1 Y 0.0000 0.0000 0.0000
Os1 Os 0.0000 0.0000 0.5000
Au1 Au 0.2500 0.2500 0.2500
# - offset from the most stable computed form (eV/f.u.) = 0.661
# - theoretical density (g cm⁻³) = 14.5
# - formation enthalpy at 0 K (meV per atom) = 27.7

# CsNa6Hg2 | the Alexandria database | PBE | optimized geometry
data_CsNa6Hg2
_chemical_formula_sum 'Cs1 Na6 Hg2'
_cell_length_a 5.1557
_cell_length_b 5.1557
_cell_length_c 12.7410
_cell_angle_alpha 90.00
_cell_angle_beta 90.00
_cell_angle_gamma 90.00
_space_group_name_H-M_alt 'P 4/m m m'
_space_group_IT_number 123
_space_group_name_Hall '-P 4 2'
loop_
_atom_site_label
_atom_site_type_symbol
_atom_site_fract_x
_atom_site_fract_y
_atom_site_fract_z
Cs1 Cs 0.0000 0.0000 0.0000
Na1 Na 0.0000 0.0000 0.5000
Na2 Na 0.0000 0.5000 0.2876
Na3 Na 0.5000 0.5000 0.5000
Hg1 Hg 0.5000 0.5000 0.1245
# - theoretical density (g cm⁻³) = 3.3
# - formation enthalpy at 0 K (meV per atom) = -100.1

# Tb4Sm9Zn11 | the Alexandria database | PBE | optimized geometry
data_Tb4Sm9Zn11
_chemical_formula_sum 'Tb8 Sm18 Zn22'
_cell_length_a 15.3873
_cell_length_b 21.6732
_cell_length_c 3.5179
_cell_angle_alpha 90.00
_cell_angle_beta 90.00
_cell_angle_gamma 90.00
_space_group_name_H-M_alt 'C m m m'
_space_group_IT_number 65
_space_group_name_Hall '-C 2 2'
loop_
_atom_site_label
_atom_site_type_symbol
_atom_site_fract_x
_atom_site_fract_y
_atom_site_fract_z
Tb1 Tb 0.1626 0.0895 0.0000
Sm1 Sm 0.0000 0.0000 0.0000
Sm2 Sm 0.1156 0.2390 0.0000
Sm3 Sm 0.1170 0.4111 0.0000
Zn1 Zn 0.0000 0.1321 0.5000
Zn2 Zn 0.0000 0.3274 0.5000
Zn3 Zn 0.0000 0.5000 0.5000
Zn4 Zn 0.2321 0.5000 0.5000
Zn5 Zn 0.2360 0.3198 0.5000
# - theoretical density (g cm⁻³) = 7.7
# - formation enthalpy at 0 K (meV per atom) = -238.0

# Fe2SeBr | the Alexandria database | PBE | optimized geometry
data_Fe2SeBr
_chemical_formula_sum 'Fe4 Se2 Br2'
_cell_length_a 7.0775
_cell_length_b 7.1629
_cell_length_c 3.6445
_cell_angle_alpha 90.00
_cell_angle_beta 119.46
_cell_angle_gamma 90.00
_space_group_name_H-M_alt 'C 1 2/m 1'
_space_group_IT_number 12
loop_
_space_group_symop_operation_xyz
'x,y,z'
'-x,-y,-z'
'-x,y,-z'
'x,-y,z'
'x+1/2,y+1/2,z'
'-x+1/2,-y+1/2,-z'
'-x+1/2,y+1/2,-z'
'x+1/2,-y+1/2,z'
loop_
_atom_site_label
_atom_site_type_symbol
_atom_site_fract_x
_atom_site_fract_y
_atom_site_fract_z
Fe1 Fe 0.2500 0.2500 0.0000
Se1 Se 0.0000 0.0000 0.0000
Br1 Br 0.0000 0.5000 0.0000
# - offset from the most stable computed form (eV/f.u.) = 2.488
# - theoretical density (g cm⁻³) = 5.6
# - energy relative to the elements, uncorrected (eV/atom) = 0.47

# MnZnCo2 | the Alexandria database | PBE | optimized geometry
data_MnZnCo2
_chemical_formula_sum 'Mn2 Zn2 Co4'
_cell_length_a 5.0518
_cell_length_b 8.2057
_cell_length_c 2.5205
_cell_angle_alpha 90.00
_cell_angle_beta 112.01
_cell_angle_gamma 90.00
_space_group_name_H-M_alt 'C 1 2/m 1'
_space_group_IT_number 12
loop_
_space_group_symop_operation_xyz
'x,y,z'
'-x,-y,-z'
'-x,y,-z'
'x,-y,z'
'x+1/2,y+1/2,z'
'-x+1/2,-y+1/2,-z'
'-x+1/2,y+1/2,-z'
'x+1/2,-y+1/2,z'
loop_
_atom_site_label
_atom_site_type_symbol
_atom_site_fract_x
_atom_site_fract_y
_atom_site_fract_z
Mn1 Mn 0.0000 0.0000 0.0000
Zn1 Zn 0.0000 0.5000 0.0000
Co1 Co 0.2500 0.2500 0.5000
# - theoretical density (g cm⁻³) = 8.2
# - formation enthalpy at 0 K (meV per atom) = 97.2

# SmTcGe4 | the Alexandria database | PBE | optimized geometry
data_SmTcGe4
_chemical_formula_sum 'Sm4 Tc4 Ge16'
_cell_length_a 11.3497
_cell_length_b 6.3266
_cell_length_c 6.9084
_cell_angle_alpha 90.00
_cell_angle_beta 92.67
_cell_angle_gamma 90.00
_space_group_name_H-M_alt 'C 1 2/c 1'
_space_group_IT_number 15
loop_
_space_group_symop_operation_xyz
'x,y,z'
'-x,-y,-z'
'-x,y,-z+1/2'
'x,-y,z+1/2'
'x+1/2,y+1/2,z'
'-x+1/2,-y+1/2,-z'
'-x+1/2,y+1/2,-z+1/2'
'x+1/2,-y+1/2,z+1/2'
loop_
_atom_site_label
_atom_site_type_symbol
_atom_site_fract_x
_atom_site_fract_y
_atom_site_fract_z
Sm1 Sm 0.0000 0.0983 0.2500
Tc1 Tc 0.2500 0.2500 0.0000
Ge1 Ge 0.0509 0.3664 0.9074
Ge2 Ge 0.2500 0.1150 0.6515
# - theoretical density (g cm⁻³) = 7.2
# - formation enthalpy at 0 K (meV per atom) = -219.3

# Dy5Cd2Bi | the Alexandria database | PBE | optimized geometry
data_Dy5Cd2Bi
_chemical_formula_sum 'Dy20 Cd8 Bi4'
_cell_length_a 8.4104
_cell_length_b 8.4104
_cell_length_c 12.9616
_cell_angle_alpha 90.00
_cell_angle_beta 90.00
_cell_angle_gamma 90.00
_space_group_name_H-M_alt 'I 4/m c m'
_space_group_IT_number 140
_space_group_name_Hall '-I 4 2c'
loop_
_atom_site_label
_atom_site_type_symbol
_atom_site_fract_x
_atom_site_fract_y
_atom_site_fract_z
Dy1 Dy 0.0000 0.0000 0.0000
Dy2 Dy 0.1527 0.3473 0.1487
Cd1 Cd 0.1399 0.3601 0.5000
Bi1 Bi 0.0000 0.0000 0.2500
# - theoretical density (g cm⁻³) = 9.0
# - formation enthalpy at 0 K (meV per atom) = -360.7

# TmPbO2 | the Alexandria database | PBE | optimized geometry
data_TmPbO2
_chemical_formula_sum 'Tm3 Pb3 O6'
_cell_length_a 3.4345
_cell_length_b 3.4345
_cell_length_c 21.1890
_cell_angle_alpha 90.00
_cell_angle_beta 90.00
_cell_angle_gamma 120.00
_space_group_name_H-M_alt 'R -3 m'
_space_group_IT_number 166
_space_group_name_Hall '-R 3 2"'
loop_
_atom_site_label
_atom_site_type_symbol
_atom_site_fract_x
_atom_site_fract_y
_atom_site_fract_z
Tm1 Tm 0.0000 0.0000 0.0000
Pb1 Pb 0.0000 0.0000 0.5000
O1 O 0.0000 0.0000 0.3845
# - theoretical density (g cm⁻³) = 9.4
# - energy relative to the elements, uncorrected (eV/atom) = -2.47

Uncorrected energy
In order: -83.31, -12.87, -12.08, -19.03, -123.58, -65.15, -33.38, -62.32, -88.24, -41.00, -11.22, -50.52, -96.55, -10.27, -161.44, -40.40, -48.53, -139.48, -126.43, -83.98
Unit: eV/cell